1.
This record from Alexandria via LeMat-Bulk describes a PBEsol-optimized structure of BeCdP. The functional is meta-GGA SCAN.

energy relative to the lowest polymorph listed for this composition = 29.8 kJ/mol of atoms
N(E_F) = 0.425 states/eV per atom
magnetization = 0.00 μB/f.u.
formation enthalpy at 0 K = 0.284 eV/atom

Cell: 5.7472 5.7472 5.7472 Å, 90.00 90.00 90.00°
Space group F-43m (No. 216)
One atom of each set of equivalent atoms:
Be 0.0000 0.0000 0.0000 (multiplicity 4)
Cd 0.2500 0.2500 0.7500 (multiplicity 4)
P 0.2500 0.2500 0.2500 (multiplicity 4)

2.
This record from Alexandria via LeMat-Bulk describes a PBEsol-optimized structure of ZrSiAg2. The functional is meta-GGA SCAN.

N(E_F) = 0.511 states/eV per atom
magnetization = 0.00 μB/f.u.
ΔE_f (raw) = -11.6 kJ per mole of atoms

Cell: 3.9331 3.9331 8.9248 Å, 90.00 90.00 90.00°
Space group I4/mmm (No. 139)
One atom of each set of equivalent atoms:
Zr 0.0000 0.0000 0.0000 (multiplicity 2)
Si 0.0000 0.0000 0.5000 (multiplicity 2)
Ag 0.0000 0.5000 0.2500 (multiplicity 4)

3.
This record from Alexandria via LeMat-Bulk describes a PBEsol-optimized structure of Al5Re3. The functional is meta-GGA SCAN.

N(E_F) = 0.554 states/eV per atom
magnetization = 0.00 μB/f.u.
formation enthalpy at 0 K = -0.206 eV/atom

Cell: 6.8373 7.9360 4.1815 Å, 90.00 90.00 90.00°
Space group Cmmm (No. 65)
One atom of each set of equivalent atoms:
Al 0.0000 0.0000 0.0000 (multiplicity 2)
Al 0.2127 0.5000 0.5000 (multiplicity 4)
Al 0.2500 0.2500 0.0000 (multiplicity 4)
Re 0.0000 0.2189 0.5000 (multiplicity 4)
Re 0.0000 0.5000 0.0000 (multiplicity 2)

4.
This record from Alexandria via LeMat-Bulk describes a PBEsol-optimized structure of MgHg2P. The functional is meta-GGA SCAN.

N(E_F) = 0.420 states/eV per atom
magnetization = 0.00 μB/f.u.
formation enthalpy at 0 K = 0.113 eV/atom

Cell: 3.8378 3.8378 5.4769 Å, 90.00 90.00 90.00°
Space group P4/mmm (No. 123)
One atom of each set of equivalent atoms:
Mg 0.0000 0.0000 0.0000 (multiplicity 1)
Hg 0.5000 0.5000 0.2527 (multiplicity 2)
P 0.0000 0.0000 0.5000 (multiplicity 1)

5.
This record from Alexandria via LeMat-Bulk describes a PBEsol-optimized structure of FeAsPtSe2. The functional is meta-GGA SCAN.

N(E_F) = 0.856 states/eV per atom
magnetization = 2.30 μB/f.u.
ΔE_f (raw) = 72.5 kJ per mole of atoms

Cell: 4.5509 4.5509 4.3509 Å, 90.00 90.00 90.00°
Space group P4/mmm (No. 123)
One atom of each set of equivalent atoms:
Fe 0.0000 0.0000 0.0000 (multiplicity 1)
As 0.0000 0.0000 0.5000 (multiplicity 1)
Pt 0.5000 0.5000 0.5000 (multiplicity 1)
Se 0.0000 0.5000 0.0000 (multiplicity 2)

6.
This record from Alexandria via LeMat-Bulk describes a PBEsol-optimized structure of IrAuSe. The functional is meta-GGA SCAN.

magnetization = 0.00 μB/f.u.
ΔE_f (raw) = 6.4 kJ per mole of atoms

Cell: 3.4094 3.4094 5.6989 Å, 90.00 90.00 120.00°
Space group P3m1 (No. 156)
One atom of each set of equivalent atoms:
Ir 0.0000 0.0000 0.0000 (multiplicity 1)
Au 0.6667 0.3333 0.3178 (multiplicity 1)
Se 0.3333 0.6667 0.7642 (multiplicity 1)

7.
This record from Alexandria via LeMat-Bulk describes a PBEsol-optimized structure of LiGaBiPt2. The functional is meta-GGA SCAN.

N(E_F) = 0.420 states/eV per atom
magnetization = 0.00 μB/f.u.
formation enthalpy at 0 K = -0.007 eV/atom

Cell: 4.6749 4.6749 4.4472 Å, 90.00 90.00 90.00°
Space group P4/mmm (No. 123)
One atom of each set of equivalent atoms:
Li 0.0000 0.0000 0.0000 (multiplicity 1)
Ga 0.0000 0.0000 0.5000 (multiplicity 1)
Bi 0.5000 0.5000 0.0000 (multiplicity 1)
Pt 0.0000 0.5000 0.5000 (multiplicity 2)

8.
This record from Alexandria via LeMat-Bulk describes a PBEsol-optimized structure of SrRu2Pt. The functional is meta-GGA SCAN.

energy relative to the lowest polymorph listed for this composition = 4.3 kJ/mol of atoms
N(E_F) = 0.754 states/eV per atom
magnetization = 0.00 μB/f.u.
formation enthalpy at 0 K = 0.207 eV/atom

Cell: 2.8742 2.8742 8.2501 Å, 90.00 90.00 90.00°
Space group P4mm (No. 99)
One atom of each set of equivalent atoms:
Sr 0.0000 0.0000 0.0000 (multiplicity 1)
Ru 0.0000 0.0000 0.5147 (multiplicity 1)
Ru 0.5000 0.5000 0.7013 (multiplicity 1)
Pt 0.5000 0.5000 0.2899 (multiplicity 1)

9.
This record from Alexandria via LeMat-Bulk describes a PBEsol-optimized structure of Ba4Cu3Si20. The functional is meta-GGA SCAN.

N(E_F) = 0.293 states/eV per atom
magnetization = 0.00 μB/f.u.
ΔE_f (raw) = -20.2 kJ per mole of atoms

Cell: 10.2669 10.2669 10.2669 Å, 90.00 90.00 90.00°
Space group Pm-3n (No. 223)
One atom of each set of equivalent atoms:
Ba 0.0000 0.0000 0.0000 (multiplicity 2)
Ba 0.0000 0.2500 0.5000 (multiplicity 6)
Cu 0.0000 0.5000 0.2500 (multiplicity 6)
Si 0.0000 0.3129 0.1196 (multiplicity 24)
Si 0.1837 0.1837 0.1837 (multiplicity 16)

10.
This record from Alexandria via LeMat-Bulk describes a PBEsol-optimized structure of TaAg3Te. The functional is meta-GGA SCAN.

N(E_F) = 0.794 states/eV per atom
magnetization = 0.00 μB/f.u.
ΔE_f (raw) = 142.4 kJ per mole of atoms

Cell: 5.0559 5.0559 5.0559 Å, 90.00 90.00 90.00°
Space group Pm-3m (No. 221)
One atom of each set of equivalent atoms:
Ta 0.0000 0.0000 0.0000 (multiplicity 1)
Ag 0.0000 0.0000 0.5000 (multiplicity 3)
Te 0.5000 0.5000 0.5000 (multiplicity 1)

11.
This record from Alexandria via LeMat-Bulk describes a PBEsol-optimized structure of Na5Br4Cl. The functional is meta-GGA SCAN.

N(E_F) = 0.000 states/eV per atom
magnetization = 0.00 μB/f.u.
ΔE_f (raw) = -175.1 kJ per mole of atoms

Cell: 4.1490 4.1490 29.2917 Å, 90.00 90.00 90.00°
Space group I4/mmm (No. 139)
One atom of each set of equivalent atoms:
Na 0.0000 0.0000 0.0000 (multiplicity 2)
Na 0.0000 0.0000 0.1998 (multiplicity 4)
Na 0.0000 0.0000 0.4038 (multiplicity 4)
Br 0.0000 0.0000 0.0988 (multiplicity 4)
Br 0.0000 0.0000 0.3010 (multiplicity 4)
Cl 0.0000 0.0000 0.5000 (multiplicity 2)

12.
This record from Alexandria via LeMat-Bulk describes a PBEsol-optimized structure of VF3. The functional is meta-GGA SCAN.

N(E_F) = 0.177 states/eV per atom
magnetization = 2.00 μB/f.u.
ΔE_f (raw) = -311.0 kJ per mole of atoms

Cell: 5.3572 7.4237 5.1516 Å, 90.00 90.00 90.00°
Space group Pnma (No. 62)
One atom of each set of equivalent atoms:
V 0.0000 0.0000 0.0000 (multiplicity 4)
F 0.0168 0.2500 0.0981 (multiplicity 4)
F 0.2075 0.0483 0.7044 (multiplicity 8)

13.
This record from Alexandria via LeMat-Bulk describes a PBEsol-optimized structure of BaScAg. The functional is meta-GGA SCAN.

N(E_F) = 1.128 states/eV per atom
magnetization = 0.00 μB/f.u.
formation enthalpy at 0 K = 0.125 eV/atom

Cell: 4.9047 4.9047 4.3974 Å, 90.00 90.00 120.00°
Space group P-6m2 (No. 187)
One atom of each set of equivalent atoms:
Ba 0.0000 0.0000 0.0000 (multiplicity 1)
Sc 0.3333 0.6667 0.5000 (multiplicity 1)
Ag 0.6667 0.3333 0.5000 (multiplicity 1)

14.
This record from Alexandria via LeMat-Bulk describes a PBEsol-optimized structure of CdAgOs2. The functional is meta-GGA SCAN.

N(E_F) = 1.015 states/eV per atom
magnetization = 0.00 μB/f.u.
formation enthalpy at 0 K = 0.790 eV/atom

Cell: 2.7887 4.6573 9.6936 Å, 90.00 90.00 90.00°
Space group Cmmm (No. 65)
One atom of each set of equivalent atoms:
Cd 0.0000 0.0000 0.0000 (multiplicity 2)
Ag 0.0000 0.0000 0.5000 (multiplicity 2)
Os 0.0000 0.5000 0.2518 (multiplicity 4)

15.
This record from Alexandria via LeMat-Bulk describes a PBEsol-optimized structure of KNaTl2. The functional is meta-GGA SCAN.

N(E_F) = 0.687 states/eV per atom
magnetization = 0.00 μB/f.u.
formation enthalpy at 0 K = -0.105 eV/atom

Cell: 7.8836 7.8836 7.8836 Å, 90.00 90.00 90.00°
Space group Fm-3m (No. 225)
One atom of each set of equivalent atoms:
K 0.0000 0.0000 0.0000 (multiplicity 4)
Na 0.0000 0.0000 0.5000 (multiplicity 4)
Tl 0.2500 0.2500 0.2500 (multiplicity 8)

16.
This record from Alexandria via LeMat-Bulk describes a PBEsol-optimized structure of LaTeAu2. The functional is meta-GGA SCAN.

N(E_F) = 0.443 states/eV per atom
magnetization = 0.00 μB/f.u.
ΔE_f (raw) = -83.1 kJ per mole of atoms

Cell: 3.8306 4.9312 5.3531 Å, 90.00 90.00 90.00°
Space group Pmmm (No. 47)
One atom of each set of equivalent atoms:
La 0.0000 0.0000 0.0000 (multiplicity 1)
Te 0.5000 0.0000 0.5000 (multiplicity 1)
Au 0.5000 0.5000 0.2430 (multiplicity 2)

17.
This record from Alexandria via LeMat-Bulk describes a PBEsol-optimized structure of Tl2TePt. The functional is meta-GGA SCAN.

N(E_F) = 0.159 states/eV per atom
magnetization = 0.00 μB/f.u.
ΔE_f (raw) = -21.3 kJ per mole of atoms

Cell: 4.4957 4.4957 18.8301 Å, 90.00 90.00 120.00°
Space group R3m (No. 160, hexagonal axes)
One atom of each set of equivalent atoms:
Tl 0.0000 0.0000 0.0000 (multiplicity 3)
Tl 0.0000 0.0000 0.2172 (multiplicity 3)
Te 0.0000 0.0000 0.7732 (multiplicity 3)
Pt 0.0000 0.0000 0.4562 (multiplicity 3)

18.
This record from Alexandria via LeMat-Bulk describes a PBEsol-optimized structure of WF6. The functional is meta-GGA SCAN.

N(E_F) = 0.000 states/eV per atom
magnetization = 0.16 μB/f.u.
ΔE_f (raw) = -261.5 kJ per mole of atoms

Cell: 9.6471 8.7412 5.0850 Å, 90.00 90.00 90.00°
Space group Pnma (No. 62)
One atom of each set of equivalent atoms:
W 0.1280 0.2500 0.0847 (multiplicity 4)
F 0.0149 0.2500 0.7904 (multiplicity 4)
F 0.0182 0.1004 0.2370 (multiplicity 8)
F 0.2376 0.1000 0.9331 (multiplicity 8)
F 0.2415 0.2500 0.3790 (multiplicity 4)

19.
This record from Alexandria via LeMat-Bulk describes a PBEsol-optimized structure of Zr2ScPb. The functional is meta-GGA SCAN.

N(E_F) = 0.848 states/eV per atom
magnetization = 0.00 μB/f.u.
formation enthalpy at 0 K = -0.213 eV/atom

Cell: 10.5236 3.2565 5.3834 Å, 90.00 103.63 90.00°
Space group Cm (No. 8)
One atom of each set of equivalent atoms:
Zr 0.0000 0.0000 0.0000 (multiplicity 2)
Zr 0.2488 0.5000 0.2283 (multiplicity 2)
Sc 0.0061 0.5000 0.5114 (multiplicity 2)
Pb 0.2546 0.0000 0.7323 (multiplicity 2)

20.
This record from Alexandria via LeMat-Bulk describes a PBEsol-optimized structure of Mg2InSe. The functional is meta-GGA SCAN.

energy relative to the lowest polymorph listed for this composition = 13.6 kJ/mol of atoms
N(E_F) = 0.391 states/eV per atom
magnetization = 0.00 μB/f.u.
ΔE_f (raw) = -41.1 kJ per mole of atoms

Cell: 3.6200 4.3825 11.3438 Å, 90.00 90.00 90.00°
Space group Imm2 (No. 44)
One atom of each set of equivalent atoms:
Mg 0.0000 0.0000 0.0000 (multiplicity 2)
Mg 0.0000 0.5000 0.2339 (multiplicity 2)
In 0.0000 0.0000 0.4293 (multiplicity 2)
Se 0.0000 0.5000 0.6826 (multiplicity 2)